[1]
Entry from Alexandria: In2FeW after structural relaxation (GGA-PBEsol).

Results
ΔE to the lowest computed polymorph = 0 meV/atom
Formation energy = 0.2727 eV per atom
SG = P4mm
Crystal system = tetragonal

Lattice parameters (Å, degrees): 2.9464 2.9464 8.0853 90.00 90.00 90.00
Closest atoms and distances in Å follow each position.
Sites, in units of the cell vectors:
Fe (0.5000, 0.5000, 0.7154)  4 W 2.46
In (0.0000, 0.0000, 0.9437)  4 Fe 2.78, 4 In 2.95
In (0.5000, 0.5000, 0.2880)  4 In 2.95, 4 W 2.99
W (0.0000, 0.0000, 0.5529)  4 Fe 2.46

***

[2]
Entry from Alexandria: YIn2Fe after structural relaxation (GGA-PBEsol).

Results
Formation energy = -0.0443 eV per atom
SG = C2/m
Crystal system = monoclinic

Lattice parameters (Å, degrees): 3.9079 4.7745 5.3709 109.33 90.00 114.16
Closest atoms and distances in Å follow each position.
Sites, in units of the cell vectors:
Fe (0.0000, 0.0000, 0.5000)  6 In 2.68-2.91
In (0.7232, 0.4463, 0.6798)  3 Fe 2.68-2.91, 2 In 2.90
In (0.2768, 0.5537, 0.3202)  3 Fe 2.68-2.91, 2 In 2.90
Y (0.5000, 0.0000, 0.0000)  6 In 3.03-3.10, 4 Fe 3.32

***

[3]
Entry from Alexandria: YIn2Fe after structural relaxation (GGA-PBEsol).

Results
Formation energy = 0.0216 eV per atom
SG = Amm2
Crystal system = orthorhombic

Lattice parameters (Å, degrees): 4.0890 3.7121 5.9859 108.06 90.00 90.00
Closest atoms and distances in Å follow each position.
Sites, in units of the cell vectors:
Fe (0.5000, 0.3314, 0.6627)  3 In 2.64-2.76, 4 Y 2.90
In (0.0000, 0.1847, 0.3693)  2 Fe 2.64
In (0.5000, 0.5737, 0.1473)  1 Fe 2.76, 4 In 3.04
Y (0.0000, 0.9093, 0.8186)  4 Fe 2.90, 3 In 3.13-3.16

***

[4]
Entry from Alexandria: YInFe2 after structural relaxation (GGA-PBEsol).

Results
Formation energy = 0.2367 eV per atom
SG = F-43m
Crystal system = cubic

Lattice parameters (Å, degrees): 4.6285 4.6285 4.6285 60.00 60.00 60.00
Closest atoms and distances in Å follow each position.
Sites, in units of the cell vectors:
Fe (0.0000, 0.0000, 0.0000)  4 Fe 2.83, 4 Y 2.83
Fe (0.2500, 0.2500, 0.2500)  4 In 2.83, 4 Fe 2.83
In (0.5000, 0.5000, 0.5000)  4 Y 2.83, 4 Fe 2.83
Y (0.7500, 0.7500, 0.7500)  4 Fe 2.83, 4 In 2.83

***

[5]
Entry from Alexandria: YInFe2 after structural relaxation (GGA-PBEsol).

Results
Formation energy = 0.1720 eV per atom
SG = P4/mmm
Crystal system = tetragonal

Lattice parameters (Å, degrees): 3.3771 3.3771 6.1379 90.00 90.00 90.00
Closest atoms and distances in Å follow each position.
Sites, in units of the cell vectors:
Fe (0.0000, 0.0000, 0.8050)  1 Fe 2.39, 4 In 2.67
Fe (0.0000, 0.0000, 0.1950)  1 Fe 2.39, 4 In 2.67
In (0.5000, 0.5000, 0.0000)  8 Fe 2.67
Y (0.5000, 0.5000, 0.5000)  8 Fe 3.03, 2 In 3.07, 4 Y 3.38

***

[6]
Entry from Alexandria: Zn3InFe after structural relaxation (GGA-PBEsol).

Results
Formation energy = 1.2449 eV per atom
SG = Pm-3m
Crystal system = cubic

Lattice parameters (Å, degrees): 4.8904 4.8904 4.8904 90.00 90.00 90.00
Closest atoms and distances in Å follow each position.
Sites, in units of the cell vectors:
Zn (0.0000, 0.5000, 0.0000)  2 In 2.45
Zn (0.0000, 0.0000, 0.5000)  2 In 2.45
Zn (0.5000, 0.0000, 0.0000)  2 In 2.45
Fe (0.5000, 0.5000, 0.5000)  12 Zn 3.46
In (0.0000, 0.0000, 0.0000)  6 Zn 2.45

***

[7]
Entry from Alexandria: ZnIn2Fe after structural relaxation (GGA-PBEsol).

Results
Formation energy = 0.2702 eV per atom
SG = Cmmm
Crystal system = orthorhombic

Lattice parameters (Å, degrees): 2.9565 4.9660 4.9660 108.28 90.00 90.00
Closest atoms and distances in Å follow each position.
Sites, in units of the cell vectors:
Fe (0.5000, 0.5000, 0.5000)  8 In 2.89, 2 Zn 2.91, 2 Fe 2.96
In (0.0000, 0.5000, 0.0000)  4 Zn 2.89, 4 Fe 2.89, 4 In 2.91-2.96
In (0.0000, 0.0000, 0.5000)  4 Fe 2.89, 4 Zn 2.89, 4 In 2.91-2.96
Zn (0.5000, 0.0000, 0.0000)  8 In 2.89, 2 Fe 2.91, 2 Zn 2.96

***

[8]
Entry from Alexandria: FeIr after structural relaxation (GGA-PBEsol).

Results
Formation energy = -0.0424 eV per atom
SG = I4_1/amd
Crystal system = tetragonal

Lattice parameters (Å, degrees): 3.6502 3.6502 4.5361 113.73 113.73 90.00
Closest atoms and distances in Å follow each position.
Sites, in units of the cell vectors:
Ir (0.7500, 0.2500, 0.5000)  8 Fe 2.58-2.61, 4 Ir 2.61
Ir (0.5000, 0.5000, 0.0000)  8 Fe 2.58-2.61, 4 Ir 2.61
Fe (0.2500, 0.7500, 0.5000)  8 Ir 2.58-2.61, 4 Fe 2.61
Fe (0.0000, 0.0000, 0.0000)  8 Ir 2.58-2.61, 4 Fe 2.61

***

[9]
Entry from Alexandria: FeIr3 after structural relaxation (GGA-PBEsol).

Results
Formation energy = -0.0154 eV per atom
SG = P4/mmm
Crystal system = tetragonal

Lattice parameters (Å, degrees): 2.6877 2.6877 7.3871 90.00 90.00 90.00
Closest atoms and distances in Å follow each position.
Sites, in units of the cell vectors:
Ir (0.5000, 0.5000, 0.2392)  4 Fe 2.60, 8 Ir 2.69-2.71
Ir (0.0000, 0.0000, 0.5000)  12 Ir 2.69-2.71
Ir (0.5000, 0.5000, 0.7608)  4 Fe 2.60, 8 Ir 2.69-2.71
Fe (0.0000, 0.0000, 0.0000)  8 Ir 2.60, 4 Fe 2.69

***

[10]
Entry from Alexandria: FeIr3 after structural relaxation (GGA-PBEsol).

Results
Formation energy = -0.0211 eV per atom
SG = C2/m
Crystal system = monoclinic

Lattice parameters (Å, degrees): 2.6863 4.6108 4.6016 100.11 90.00 106.94
Closest atoms and distances in Å follow each position.
Sites, in units of the cell vectors:
Ir (0.5000, 0.0000, 0.5000)  8 Ir 2.66-2.69, 4 Fe 2.66
Ir (0.2527, 0.5055, 0.7547)  3 Fe 2.63-2.68, 9 Ir 2.64-2.69
Ir (0.7473, 0.4945, 0.2453)  3 Fe 2.63-2.68, 9 Ir 2.64-2.69
Fe (0.0000, 0.0000, 0.0000)  10 Ir 2.63-2.68, 2 Fe 2.69

***

[11]
Entry from Alexandria: FeIr3 after structural relaxation (GGA-PBEsol).

Results
Formation energy = -0.0140 eV per atom
SG = Pm-3m
Crystal system = cubic

Lattice parameters (Å, degrees): 3.7444 3.7444 3.7444 90.00 90.00 90.00
Closest atoms and distances in Å follow each position.
Sites, in units of the cell vectors:
Ir (0.0000, 0.5000, 0.5000)  4 Fe 2.65, 8 Ir 2.65
Ir (0.5000, 0.0000, 0.5000)  4 Fe 2.65, 8 Ir 2.65
Ir (0.5000, 0.5000, 0.0000)  4 Fe 2.65, 8 Ir 2.65
Fe (0.0000, 0.0000, 0.0000)  12 Ir 2.65

***

[12]
Entry from Alexandria: FeIr3 after structural relaxation (GGA-PBEsol).

Results
Formation energy = -0.0230 eV per atom
SG = Pmmm
Crystal system = orthorhombic

Lattice parameters (Å, degrees): 2.6829 3.7409 5.3268 90.00 90.00 90.00
Closest atoms and distances in Å follow each position.
Sites, in units of the cell vectors:
Ir (0.5000, 0.5000, 0.2432)  8 Ir 2.59-2.74, 4 Fe 2.64
Ir (0.0000, 0.0000, 0.5000)  2 Fe 2.66, 10 Ir 2.68
Ir (0.5000, 0.5000, 0.7568)  8 Ir 2.59-2.74, 4 Fe 2.64
Fe (0.0000, 0.0000, 0.0000)  10 Ir 2.64-2.66, 2 Fe 2.68

***

Number 1: DFT total energy -6.9115 eV/atom. Number 2: DFT total energy -5.4821 eV/atom. Number 3: DFT total energy -5.4162 eV/atom. Number 4: DFT total energy -6.6963 eV/atom. Number 5: DFT total energy -6.7610 eV/atom. Number 6: DFT total energy -2.0936 eV/atom. Number 7: DFT total energy -3.8576 eV/atom. Number 8: DFT total energy -9.4358 eV/atom. Number 9: DFT total energy -9.6238 eV/atom. Number 10: DFT total energy -9.6295 eV/atom. Number 11: DFT total energy -9.6224 eV/atom. Number 12: DFT total energy -9.6314 eV/atom.